Below is PaOs after structural relaxation, with properties calculated at the PBE level.

a b c (Å): 4.505 4.505 6.419
angles (deg): 69.46 69.46 60.00
Fractional positions:
Os  0.925  0.925  0.226
Pa  0.760  0.760  0.721
Os  0.075  0.075  0.774
Pa  0.240  0.240  0.279

Computed properties:
Space-group type   R-3m
Energy of formation   6.1 kJ/mol of atoms
Calculated total energy   -0.3785 Ha/atom

Below is Pa3Os after structural relaxation, with properties calculated at the PBE level.

a b c (Å): 4.029 4.029 5.414
angles (deg): 90.00 90.00 90.00
Fractional positions:
Pa  0.000  0.083  0.500
Os  0.000  0.584  0.000
Pa  0.500  0.583  0.500
Pa  0.500  0.083  0.000

Computed properties:
Distance to the lowest polymorph of the same formula   0.128 eV per atom
Space-group type   P4/mmm
Energy of formation   -5.2 kJ/mol of atoms
Calculated total energy   -0.3669 Ha/atom

Below is Pa5Os after structural relaxation, with properties calculated at the PBE level.

a b c (Å): 4.112 4.117 8.272
angles (deg): 104.41 90.00 90.00
Fractional positions:
Pa  0.500  0.170  0.341
Os  0.000  0.000  0.000
Pa  0.500  0.500  0.000
Pa  0.000  0.336  0.672
Pa  0.000  0.664  0.328
Pa  0.500  0.830  0.659

Computed properties:
Space-group type   Cmmm
Energy of formation   3.0 kJ/mol of atoms
Calculated total energy   -0.3585 Ha/atom